Record 1
DFT (PBEsol) results for a geometry-optimized CrNi3 structure.

Geometry as POSCAR:
```
CrNi3
1.0
4.0253 0.0000 0.0000
0.0000 4.8422 0.0000
0.0000 0.0000 4.2776
Cr Ni
2 6
Direct
0.2500 0.2500 0.1581
0.7500 0.7500 0.8419
0.2500 0.9998 0.6623
0.2500 0.5002 0.6623
0.2500 0.7500 0.1582
0.7500 0.0002 0.3377
0.7500 0.2500 0.8418
0.7500 0.4998 0.3377
```

Results
- Crystal system: orthorhombic
- Calculated volume: 42 Å³/f.u.
- Total DFT energy (no corrections): -7.1985 eV per atom
- Calculated formation energy: -20 meV/atom

***

Record 2
DFT (PBEsol) results for a geometry-optimized Mn6Si7Ni16 structure.

Geometry as POSCAR:
```
Mn6Si7Ni16
1.0
0.0000 5.4677 5.4677
5.4677 0.0000 5.4677
5.4677 5.4677 0.0000
Mn Si Ni
6 7 16
Direct
0.1940 0.1940 0.8060
0.1940 0.8060 0.1940
0.1940 0.8060 0.8060
0.8060 0.1940 0.1940
0.8060 0.1940 0.8060
0.8060 0.8060 0.1940
0.0000 0.0000 0.5000
0.0000 0.5000 0.0000
0.0000 0.5000 0.5000
0.5000 0.0000 0.0000
0.5000 0.0000 0.5000
0.5000 0.5000 0.0000
0.5000 0.5000 0.5000
0.1471 0.6176 0.6176
0.1653 0.1653 0.1653
0.1653 0.1653 0.5041
0.1653 0.5041 0.1653
0.3824 0.3824 0.3824
0.3824 0.3824 0.8529
0.3824 0.8529 0.3824
0.4959 0.8347 0.8347
0.5041 0.1653 0.1653
0.6176 0.1471 0.6176
0.6176 0.6176 0.1471
0.6176 0.6176 0.6176
0.8347 0.4959 0.8347
0.8347 0.8347 0.4959
0.8347 0.8347 0.8347
0.8529 0.3824 0.3824
```

Results
- Energy relative to the elements, uncorrected: -437 meV per atom
- Crystal system: cubic
- Calculated volume: 327 Å³/f.u.
- Total DFT energy (no corrections): -7.2412 eV per atom

***

Record 3
DFT (PBEsol) results for a geometry-optimized Tl3Cd5 structure.

Geometry as POSCAR:
```
Tl3Cd5
1.0
2.7954 -8.9283 0.0000
2.7954 8.9283 0.0000
-2.7923 0.0000 7.9866
Tl Cd
6 10
Direct
0.2003 0.7997 0.0000
0.2880 0.7120 0.5000
0.3092 0.3092 0.6149
0.6908 0.6908 0.3851
0.7120 0.2880 0.5000
0.7997 0.2003 0.0000
0.0475 0.2268 0.2833
0.2268 0.0475 0.2833
0.2502 0.5410 0.8103
0.2524 0.2524 0.0019
0.4590 0.7498 0.1897
0.5410 0.2502 0.8103
0.7476 0.7476 0.9981
0.7498 0.4590 0.1897
0.7732 0.9525 0.7167
0.9525 0.7732 0.7167
```

Results
- Crystal system: monoclinic
- Calculated volume: 199 Å³/f.u.
- Total DFT energy (no corrections): -1.6407 eV per atom
- Calculated formation energy: 94 meV/atom
- Distance to the lowest polymorph of the same formula: 22 meV/atom

***

Record 4
DFT (PBEsol) results for a geometry-optimized KBNF2 structure.

Geometry as POSCAR:
```
KBNF2
1.0
4.4050 0.0000 0.0000
0.0000 4.4050 0.0000
0.0000 0.0000 2.7888
K B N F
1 1 1 2
Direct
0.0000 0.0000 0.0000
0.5000 0.5000 0.5000
0.5000 0.5000 0.0000
0.0000 0.5000 0.5000
0.5000 0.0000 0.5000
```

Results
- Energy relative to the elements, uncorrected: -1279 meV per atom
- Crystal system: tetragonal
- Calculated volume: 54 Å³/f.u.
- Total DFT energy (no corrections): -5.3856 eV per atom

***

Record 5
DFT (PBEsol) results for a geometry-optimized PWAu2 structure.

Geometry as POSCAR:
```
PWAu2
1.0
2.8097 0.0000 0.0000
0.0000 4.5781 0.0000
-1.2267 0.0000 4.9227
P W Au
1 1 2
Direct
0.0000 0.0000 0.0000
0.0000 0.0000 0.5000
0.3434 0.5000 0.2404
0.6566 0.5000 0.7596
```

Results
- Crystal system: monoclinic
- Calculated volume: 63 Å³/f.u.
- Total DFT energy (no corrections): -6.4421 eV per atom
- Calculated formation energy: 420 meV/atom
- Distance to the lowest polymorph of the same formula: 148 meV/atom

***

Record 6
DFT (PBEsol) results for a geometry-optimized KIn2TcSn structure.

Geometry as POSCAR:
```
KIn2TcSn
1.0
5.5740 0.0000 0.0000
0.0000 5.5740 0.0000
0.0000 0.0000 4.7280
K In Tc Sn
1 2 1 1
Direct
0.0000 0.0000 0.0000
0.0000 0.5000 0.0000
0.5000 0.0000 0.0000
0.0000 0.0000 0.5000
0.5000 0.5000 0.5000
```

Results
- Crystal system: tetragonal
- Calculated volume: 147 Å³/f.u.
- Total DFT energy (no corrections): -2.7163 eV per atom
- Calculated formation energy: 1809 meV/atom

***

Record 7
DFT (PBEsol) results for a geometry-optimized Zr2ZnPt structure.

Geometry as POSCAR:
```
Zr2ZnPt
1.0
-1.9769 1.9769 4.5217
1.9769 -1.9769 4.5217
1.9769 1.9769 -4.5217
Zr Zn Pt
2 1 1
Direct
0.0000 0.0000 0.0000
0.7500 0.2500 0.5000
0.2500 0.7500 0.5000
0.5000 0.5000 0.0000
```

Results
- Crystal system: tetragonal
- Calculated volume: 71 Å³/f.u.
- Total DFT energy (no corrections): -7.2182 eV per atom
- Calculated formation energy: -537 meV/atom

***

Record 8
DFT (PBEsol) results for a geometry-optimized BeZn2AuCl structure.

Geometry as POSCAR:
```
BeZn2AuCl
1.0
4.6894 0.0000 0.0000
0.0000 4.6894 0.0000
0.0000 0.0000 4.8532
Be Zn Au Cl
1 2 1 1
Direct
0.0000 0.0000 0.0000
0.0000 0.5000 0.5000
0.5000 0.0000 0.5000
0.5000 0.5000 0.0000
0.5000 0.5000 0.5000
```

Results
- Energy relative to the elements, uncorrected: 1147 meV per atom
- Crystal system: tetragonal
- Calculated volume: 107 Å³/f.u.
- Total DFT energy (no corrections): -1.4719 eV per atom